1.
Here is an optimized crystal structure of LiTc5Ge6 from Alexandria. Energies are from GGA-PBE.

POSCAR file:
```
LiTc5Ge6
1.0
7.541 0.492 0.000
2.300 3.721 0.000
1.150 1.860 6.465
Li Tc Ge
1 5 6
Direct
0.000 0.000 0.000 Li
0.500 0.163 0.674 Tc
0.000 0.334 0.331 Tc
0.500 0.500 0.000 Tc
0.000 0.666 0.669 Tc
0.500 0.837 0.326 Tc
0.743 0.087 0.339 Ge
0.257 0.574 0.339 Ge
0.255 0.245 0.000 Ge
0.745 0.755 0.000 Ge
0.743 0.426 0.661 Ge
0.257 0.913 0.661 Ge
```

Output
Calculated total energy (eV per atom): -6.862
Mass density (Mg/m³): 8.9
Energy of formation (eV per atom): -0.0750


2.
Here is an optimized crystal structure of Li3TcGe from Alexandria. Energies are from GGA-PBE.

POSCAR file:
```
Li3TcGe
1.0
4.715 0.000 0.000
0.000 4.715 0.000
0.000 0.000 4.715
Ge Tc Li
1 1 3
Direct
0.500 0.500 0.500 Ge
0.000 0.000 0.000 Tc
0.000 0.500 0.000 Li
0.000 0.000 0.500 Li
0.500 0.000 0.000 Li
```

Output
Calculated total energy (eV per atom): -2.980
Mass density (Mg/m³): 3.0
Energy of formation (eV per atom): 1.1651


3.
Here is an optimized crystal structure of LiThTcGe2 from Alexandria. Energies are from GGA-PBE.

POSCAR file:
```
LiThTcGe2
1.0
4.152 0.000 0.000
0.000 4.152 0.000
-2.076 -2.076 5.457
Li Th Tc Ge
1 1 1 2
Direct
0.250 0.750 0.500 Li
0.000 0.000 0.000 Th
0.750 0.250 0.500 Tc
0.622 0.622 0.244 Ge
0.378 0.378 0.756 Ge
```

Output
Calculated total energy (eV per atom): -6.201
Mass density (Mg/m³): 8.5
Energy of formation (eV per atom): -0.4144


4.
Here is an optimized crystal structure of LiTcGeW from Alexandria. Energies are from GGA-PBE.

POSCAR file:
```
LiTcGeW
1.0
-3.200 0.158 2.872
-1.991 -3.620 1.205
0.589 -1.561 3.966
Ge Tc W Li
1 1 1 1
Direct
0.000 0.000 0.000 Ge
0.250 0.250 0.250 Tc
0.500 0.500 0.500 W
0.750 0.750 0.750 Li
```

Output
Calculated total energy (eV per atom): -7.562
Mass density (Mg/m³): 10.7
Energy of formation (eV per atom): -0.0996


5.
Here is an optimized crystal structure of LiYTcGe2 from Alexandria. Energies are from GGA-PBE.

POSCAR file:
```
LiYTcGe2
1.0
-2.088 1.278 3.217
-1.553 -3.703 0.463
6.051 -0.152 1.448
Li Y Tc Ge
1 1 1 2
Direct
0.250 0.750 0.500 Li
0.000 0.000 0.000 Y
0.750 0.250 0.500 Tc
0.617 0.617 0.235 Ge
0.383 0.383 0.765 Ge
```

Output
Calculated total energy (eV per atom): -6.010
Mass density (Mg/m³): 6.2
Energy of formation (eV per atom): -0.4143


6.
Here is an optimized crystal structure of LiZnTcGe from Alexandria. Energies are from GGA-PBE.

POSCAR file:
```
LiZnTcGe
1.0
4.294 0.000 0.000
2.147 3.718 0.000
2.147 1.239 3.506
Zn Ge Tc Li
1 1 1 1
Direct
0.000 0.000 0.000 Zn
0.500 0.500 0.500 Ge
0.750 0.750 0.750 Tc
0.250 0.250 0.250 Li
```

Output
Calculated total energy (eV per atom): -4.615
Mass density (Mg/m³): 7.2
Energy of formation (eV per atom): -0.0722


7.
Here is an optimized crystal structure of LiGe2Te3 from Alexandria. Energies are from GGA-PBE.

POSCAR file:
```
LiGe2Te3
1.0
-4.823 2.864 0.703
-3.855 -4.836 -6.737
-3.900 -8.635 8.431
Li Ge Te
4 8 12
Direct
0.250 0.847 0.097 Li
0.250 0.347 0.403 Li
0.750 0.653 0.597 Li
0.750 0.153 0.903 Li
0.250 0.811 0.748 Ge
0.250 0.311 0.752 Ge
0.250 0.820 0.421 Ge
0.250 0.320 0.079 Ge
0.750 0.680 0.921 Ge
0.750 0.180 0.579 Ge
0.750 0.689 0.248 Ge
0.750 0.189 0.252 Ge
0.250 0.621 0.582 Te
0.250 0.121 0.918 Te
0.250 0.611 0.912 Te
0.250 0.111 0.588 Te
0.250 0.620 0.259 Te
0.250 0.120 0.241 Te
0.750 0.880 0.759 Te
0.750 0.380 0.741 Te
0.750 0.889 0.412 Te
0.750 0.389 0.088 Te
0.750 0.879 0.082 Te
0.750 0.379 0.418 Te
```

Output
Calculated total energy (eV per atom): -3.718
Mass density (Mg/m³): 5.4
Formation energy (no corrections) (eV per atom): -0.29


8.
Here is an optimized crystal structure of Li3Ge4Te8 from Alexandria. Energies are from GGA-PBE.

POSCAR file:
```
Li3Ge4Te8
1.0
-1.839 -1.829 7.462
2.499 -6.025 -5.017
6.951 4.170 -1.421
Li Ge Te
3 4 8
Direct
0.500 0.500 0.000 Li
0.500 0.000 0.500 Li
0.500 0.500 0.500 Li
0.500 0.000 0.000 Ge
0.000 0.500 0.000 Ge
0.000 0.000 0.000 Ge
0.000 0.000 0.500 Ge
0.488 0.241 0.241 Te
0.000 0.750 0.250 Te
0.999 0.251 0.251 Te
0.500 0.749 0.251 Te
0.500 0.251 0.749 Te
0.001 0.749 0.749 Te
0.000 0.250 0.750 Te
0.512 0.759 0.759 Te
```

Output
Calculated total energy (eV per atom): -3.533
Mass density (Mg/m³): 5.6
Formation energy (no corrections) (eV per atom): -0.24


9.
Here is an optimized crystal structure of LiGeTe from Alexandria. Energies are from GGA-PBE.

POSCAR file:
```
LiGeTe
1.0
-1.701 3.614 2.142
-0.118 -4.044 1.934
9.430 4.236 0.343
Te Li Ge
2 2 2
Direct
0.991 0.981 0.819 Te
0.009 0.019 0.181 Te
0.309 0.618 0.117 Li
0.691 0.382 0.883 Li
0.854 0.707 0.536 Ge
0.146 0.293 0.464 Ge
```

Output
Calculated total energy (eV per atom): -3.650
Mass density (Mg/m³): 4.2
Formation energy (no corrections) (eV per atom): -0.43


10.
Here is an optimized crystal structure of Li4GeTe5 from Alexandria. Energies are from GGA-PBE.

POSCAR file:
```
Li4GeTe5
1.0
5.936 0.000 0.000
2.968 6.464 0.000
2.968 0.000 6.464
Li Ge Te
4 1 5
Direct
0.383 0.401 0.822 Li
0.784 0.822 0.599 Li
0.205 0.178 0.401 Li
0.606 0.599 0.178 Li
0.064 0.000 0.000 Ge
0.907 0.375 0.791 Te
0.282 0.791 0.625 Te
0.698 0.209 0.375 Te
0.073 0.625 0.209 Te
0.508 0.000 0.000 Te
```

Output
Calculated total energy (eV per atom): -3.253
Mass density (Mg/m³): 4.9
Formation energy (no corrections) (eV per atom): -0.46


11.
Here is an optimized crystal structure of Li3GeTe4 from Alexandria. Energies are from GGA-PBE.

POSCAR file:
```
Li3GeTe4
1.0
7.567 0.000 0.000
0.000 8.175 0.000
0.000 0.000 7.859
Li Ge Te
6 2 8
Direct
0.509 0.866 0.000 Li
0.982 0.666 0.237 Li
0.482 0.334 0.263 Li
0.009 0.134 0.500 Li
0.482 0.334 0.737 Li
0.982 0.666 0.763 Li
0.006 0.179 0.000 Ge
0.506 0.821 0.500 Ge
0.144 0.883 0.000 Te
0.659 0.165 0.000 Te
0.117 0.351 0.258 Te
0.617 0.649 0.242 Te
0.159 0.835 0.500 Te
0.644 0.117 0.500 Te
0.617 0.649 0.758 Te
0.117 0.351 0.742 Te
```

Output
Calculated total energy (eV per atom): -3.369
Mass density (Mg/m³): 4.1
Formation energy (no corrections) (eV per atom): -0.50


12.
Here is an optimized crystal structure of LiGe2Te from Alexandria. Energies are from GGA-PBE.

POSCAR file:
```
LiGe2Te
1.0
6.430 0.000 0.000
0.000 6.430 0.000
3.215 3.215 5.543
Ge Te Li
4 2 2
Direct
0.605 0.125 0.250 Ge
0.145 0.625 0.250 Ge
0.375 0.395 0.750 Ge
0.875 0.855 0.750 Ge
0.000 0.000 0.000 Te
0.750 0.250 0.500 Te
0.500 0.500 0.000 Li
0.250 0.750 0.500 Li
```

Output
Calculated total energy (eV per atom): -3.328
Mass density (Mg/m³): 4.1
Formation energy (no corrections) (eV per atom): 0.24